! PBE BeFeCl4, relaxed; values from VASP
&SYSTEM
  ibrav = 0, nat = 6, ntyp = 3
/
ATOMIC_SPECIES
Be 9.01 Be.upf
Fe 55.84 Fe.upf
Cl 35.45 Cl.upf
ATOMIC_POSITIONS angstrom
Be 0.000 0.000 0.000
Fe -8.969 -1.930 -5.490
Cl -6.224 -3.045 -3.798
Cl -5.844 -0.576 -5.288
Cl -7.365 -0.560 -2.809
Cl -4.485 -0.965 -2.746
CELL_PARAMETERS angstrom
-3.479 -4.163 -2.107
-5.762 0.811 -0.126
-2.718 0.778 -5.087
! Space-group type: F-43m (216)
! E_form (uncorrected), meV/atom: 1213


! PBE MnTl2P, relaxed; values from VASP
&SYSTEM
  ibrav = 0, nat = 4, ntyp = 3
/
ATOMIC_SPECIES
Mn 54.94 Mn.upf
Tl 204.38 Tl.upf
P 30.97 P.upf
ATOMIC_POSITIONS angstrom
Mn 10.607 0.000 1.672
Tl 15.791 0.000 2.490
Tl 5.423 0.000 0.855
P 0.000 0.000 0.000
CELL_PARAMETERS angstrom
7.247 -1.953 0.001
7.247 1.953 0.001
6.720 0.000 3.343
! Energy above the most stable polymorph in this dataset, meV per atom: 490
! Space-group type: R-3m (166)
! Formation energy, eV/f.u.: 2.178


! PBE RbFeCl2, relaxed; values from VASP
&SYSTEM
  ibrav = 0, nat = 4, ntyp = 3
/
ATOMIC_SPECIES
Fe 55.84 Fe.upf
Rb 85.47 Rb.upf
Cl 35.45 Cl.upf
ATOMIC_POSITIONS angstrom
Fe 0.000 0.000 0.000
Rb 3.644 3.644 3.644
Cl 1.822 1.822 1.822
Cl 5.466 5.466 5.466
CELL_PARAMETERS angstrom
0.000 3.644 3.644
3.644 0.000 3.644
3.644 3.644 0.000
! Energy above the most stable polymorph in this dataset, meV per atom: 384
! Space-group type: Fm-3m (225)
! E_form (uncorrected), meV/atom: -408


! PBE AcPm2Sm9, relaxed; values from VASP
&SYSTEM
  ibrav = 0, nat = 12, ntyp = 3
/
ATOMIC_SPECIES
Ac 227.00 Ac.upf
Pm 145.00 Pm.upf
Sm 150.36 Sm.upf
ATOMIC_POSITIONS angstrom
Ac 0.000 0.000 0.000
Pm 0.000 0.000 5.211
Pm 0.000 0.000 10.326
Sm 2.586 2.586 0.000
Sm 2.586 2.586 5.225
Sm 2.586 2.586 10.311
Sm 2.586 0.000 2.675
Sm 2.586 0.000 7.768
Sm 2.586 0.000 12.862
Sm 0.000 2.586 2.675
Sm 0.000 2.586 7.768
Sm 0.000 2.586 12.862
CELL_PARAMETERS angstrom
5.173 0.000 0.000
0.000 5.173 0.000
0.000 0.000 15.536
! Space-group type: P4/mmm (123)
! Formation energy, eV/f.u.: 0.292